Entry 1:
This record from OQMD via LeMat-Bulk describes a geometry-optimized AcPAu structure. The functional is PBE.

- Final energy: -63.15 eV per cell
- Symmetry: C2/m (12)

abc: 11.3889 4.4252 6.2896
angles: 90.00 94.37 90.00
Closest atoms and distances in Å follow each position.
Fractional positions:
Ac: 0.1351 0.0000 0.2450  5 P 3.08-3.44, 5 Au 3.32-3.39
Ac: 0.3649 0.5000 0.7550  5 P 3.08-3.44, 5 Au 3.32-3.39
Ac: 0.6351 0.5000 0.2450  5 P 3.08-3.44, 5 Au 3.32-3.39
Ac: 0.8649 0.0000 0.7550  5 P 3.08-3.44, 5 Au 3.32-3.39
P: 0.1661 0.0000 0.7352  2 Au 2.53
P: 0.3339 0.5000 0.2648  2 Au 2.53
P: 0.6661 0.5000 0.7352  2 Au 2.53
P: 0.8339 0.0000 0.2648  2 Au 2.53
Au: 0.0807 0.5000 0.8408  2 P 2.53, 1 Au 2.82
Au: 0.4193 0.0000 0.1592  2 P 2.53, 1 Au 2.82
Au: 0.5807 0.0000 0.8408  2 P 2.53, 1 Au 2.82
Au: 0.9193 0.5000 0.1592  2 P 2.53, 1 Au 2.82



Entry 2:
This record from OQMD via LeMat-Bulk describes a geometry-optimized Ac3Pd7Au2 structure. The functional is PBE.

- Symmetry: R-3m (166)
- Formation energy: -9.00 eV/f.u.

abc: 9.6909 9.6909 9.6909
angles: 33.76 33.76 33.76
Closest atoms and distances in Å follow each position.
Fractional positions:
Ac: 0.0000 0.0000 0.0000  6 Au 3.25
Ac: 0.1383 0.1383 0.1383  12 Pd 3.18-3.43
Ac: 0.8617 0.8617 0.8617  12 Pd 3.18-3.43
Pd: 0.0816 0.5857 0.5857  5 Pd 2.79-2.84, 2 Au 2.82-2.83
Pd: 0.4143 0.4143 0.9184  5 Pd 2.79-2.84, 2 Au 2.82-2.83
Pd: 0.4143 0.9184 0.4143  5 Pd 2.79-2.84, 2 Au 2.82-2.83
Pd: 0.5000 0.5000 0.5000  6 Pd 2.79
Pd: 0.5857 0.0816 0.5857  5 Pd 2.79-2.84, 2 Au 2.82-2.83
Pd: 0.5857 0.5857 0.0816  5 Pd 2.79-2.84, 2 Au 2.82-2.83
Pd: 0.9184 0.4143 0.4143  5 Pd 2.79-2.84, 2 Au 2.82-2.83
Au: 0.3335 0.3335 0.3335  6 Pd 2.82-2.83
Au: 0.6665 0.6665 0.6665  6 Pd 2.82-2.83



Entry 3:
This record from OQMD via LeMat-Bulk describes a geometry-optimized Ac3Pd2Au3 structure. The functional is PBE.

- Symmetry: Cmcm (63)
- Formation energy: -6.81 eV/f.u.

abc: 6.1455 6.1455 17.1125
angles: 90.00 90.00 138.08
Closest atoms and distances in Å follow each position.
Fractional positions:
Ac: 0.1096 0.8904 0.5938  2 Pd 3.16, 7 Au 3.29-3.48
Ac: 0.1096 0.8904 0.9062  2 Pd 3.16, 7 Au 3.29-3.48
Ac: 0.3690 0.6310 0.7500  5 Au 3.17-3.46, 4 Pd 3.19
Ac: 0.6310 0.3690 0.2500  5 Au 3.17-3.46, 4 Pd 3.19
Ac: 0.8904 0.1096 0.0938  2 Pd 3.16, 7 Au 3.29-3.48
Ac: 0.8904 0.1096 0.4062  2 Pd 3.16, 7 Au 3.29-3.48
Pd: 0.1972 0.8028 0.1227  3 Au 2.77-2.83
Pd: 0.1972 0.8028 0.3773  3 Au 2.77-2.83
Pd: 0.8028 0.1972 0.6227  3 Au 2.77-2.83
Pd: 0.8028 0.1972 0.8773  3 Au 2.77-2.83
Au: 0.3545 0.6455 0.2500  2 Pd 2.83
Au: 0.4004 0.5996 0.5492  2 Pd 2.77, 1 Au 2.84
Au: 0.4004 0.5996 0.9508  2 Pd 2.77, 1 Au 2.84
Au: 0.5996 0.4004 0.0492  2 Pd 2.77, 1 Au 2.84
Au: 0.5996 0.4004 0.4508  2 Pd 2.77, 1 Au 2.84
Au: 0.6455 0.3545 0.7500  2 Pd 2.83



Entry 4:
This record from OQMD via LeMat-Bulk describes a geometry-optimized Ac4Pd5Au2 structure. The functional is PBE.

- Symmetry: P2/m (10)
- Formation energy: -9.20 eV/f.u.

abc: 7.5587 4.2303 8.7402
angles: 90.00 90.73 90.00
Closest atoms and distances in Å follow each position.
Fractional positions:
Ac: 0.2420 0.0000 0.1214  4 Pd 3.02-3.18, 2 Au 3.36
Ac: 0.2545 0.0000 0.6181  6 Pd 3.03-3.27, 2 Au 3.20
Ac: 0.7455 0.0000 0.3819  6 Pd 3.03-3.27, 2 Au 3.20
Ac: 0.7580 0.0000 0.8786  4 Pd 3.02-3.18, 2 Au 3.36
Pd: 0.0000 0.5000 0.5000  4 Pd 2.86-2.89, 4 Ac 3.03
Pd: 0.0363 0.5000 0.8295  1 Au 2.81, 2 Pd 2.89-3.04, 2 Ac 3.02
Pd: 0.3501 0.5000 0.3785  1 Au 2.80, 2 Pd 2.86-3.09, 2 Ac 3.07
Pd: 0.6499 0.5000 0.6215  1 Au 2.80, 2 Pd 2.86-3.09, 2 Ac 3.07
Pd: 0.9637 0.5000 0.1705  1 Au 2.81, 2 Pd 2.89-3.04, 2 Ac 3.02
Au: 0.4070 0.5000 0.8610  1 Au 2.79, 2 Pd 2.80-2.81
Au: 0.5930 0.5000 0.1390  1 Au 2.79, 2 Pd 2.80-2.81



Entry 5:
This record from OQMD via LeMat-Bulk describes a geometry-optimized Ac2PdAu2 structure. The functional is PBE.

- Symmetry: C2/m (12)
- Formation energy: -4.27 eV/f.u.

abc: 6.2132 6.2132 12.2807
angles: 114.34 114.34 40.85
Closest atoms and distances in Å follow each position.
Fractional positions:
Ac: 0.0472 0.0472 0.3571  2 Pd 3.15, 7 Au 3.28-3.48
Ac: 0.1893 0.1893 0.1124  2 Pd 3.13, 6 Au 3.20-3.42
Ac: 0.8107 0.8107 0.8876  2 Pd 3.13, 6 Au 3.20-3.42
Ac: 0.9528 0.9528 0.6429  2 Pd 3.15, 7 Au 3.28-3.48
Pd: 0.2865 0.2865 0.6946  3 Au 2.77-2.83
Pd: 0.7135 0.7135 0.3054  3 Au 2.77-2.83
Au: 0.3673 0.3673 0.4202  2 Pd 2.77, 1 Au 2.84
Au: 0.4639 0.4639 0.1121  1 Pd 2.83
Au: 0.5361 0.5361 0.8879  1 Pd 2.83
Au: 0.6327 0.6327 0.5798  2 Pd 2.77, 1 Au 2.84



Entry 6:
This record from OQMD via LeMat-Bulk describes a geometry-optimized AcPd2Au10 structure. The functional is PBE.

- Symmetry: Fmmm (69)
- Formation energy: -3.91 eV/f.u.

abc: 9.4850 7.3671 7.1993
angles: 81.25 50.15 48.61
Closest atoms and distances in Å follow each position.
Fractional positions:
Ac: 0.0000 0.0000 0.0000  12 Au 3.29-3.50, 4 Pd 3.60
Pd: 0.0000 0.0000 0.5000  8 Au 2.76-2.87, 2 Pd 2.84
Pd: 0.5000 0.5000 0.0000  8 Au 2.76-2.87, 2 Pd 2.84
Au: 0.0000 0.5000 0.0000  10 Au 2.81-2.95
Au: 0.0080 0.6534 0.3466  2 Pd 2.87, 7 Au 2.92-3.17
Au: 0.2836 0.5025 0.4975  2 Pd 2.76, 5 Au 2.81-2.95
Au: 0.3466 0.9920 0.0080  2 Pd 2.87, 7 Au 2.92-3.17
Au: 0.4975 0.7164 0.2836  2 Pd 2.76, 5 Au 2.81-2.95
Au: 0.5000 0.0000 0.5000  10 Au 2.81-2.95
Au: 0.5025 0.2836 0.7164  2 Pd 2.76, 5 Au 2.81-2.95
Au: 0.6534 0.0080 0.9920  2 Pd 2.87, 7 Au 2.92-3.17
Au: 0.7164 0.4975 0.5025  2 Pd 2.76, 5 Au 2.81-2.95
Au: 0.9920 0.3466 0.6534  2 Pd 2.87, 7 Au 2.92-3.17